No. 1
6
Lattice="0.0000 3.7345 3.7345 3.7345 0.0000 3.7345 3.7345 3.7345 0.0000" Properties=species:S:1:pos:R:3 comment="BaCu4P PBE-GGA optimized geometry" formation_enthalpy_0k_mev_per_atom=132 m_tot_mub_per_cell=0.00 pbc="T T T"
Ba 0.0000 0.0000 0.0000
P 5.6017 5.6017 5.6017
Cu 4.6582 4.6582 2.8107
Cu 2.8107 2.8107 2.8107
Cu 2.8107 4.6582 4.6582
Cu 4.6582 2.8107 4.6582



No. 2
18
Lattice="7.2305 0.0036 1.8167 2.1709 9.3667 0.7007 -0.0655 0.6408 9.6190" Properties=species:S:1:pos:R:3 comment="GaSi2Te6 PBE-GGA optimized geometry" formation_energy_uncorrected_ev_per_atom=-0.019 e_above_lowest_polymorph_mev_per_atom=21 m_tot_mub_per_cell=0.00 pbc="T T T"
Si 3.3511 7.8180 8.0957
Te 6.6088 2.6937 11.2247
Te 4.6214 0.6048 8.6825
Te 7.7721 9.1409 5.3510
Te 4.7145 9.4064 3.4539
Ga 7.4682 8.8794 2.5641
Si 6.8685 7.4381 9.3942
Te 7.5450 3.4484 5.5886
Te 5.3261 6.2522 7.7754
Te 2.7270 7.3175 0.9117
Te 1.7909 6.5627 6.5479
Te 1.5638 0.8702 6.7854
Te 4.0098 3.7590 4.3610
Si 5.9847 2.1931 4.0407
Te 6.5549 6.2400 2.2074
Ga 1.8677 1.1317 9.5724
Si 2.4673 2.5731 2.7422
Te 2.7810 3.7712 9.9290



No. 3
5
Lattice="4.1844 0.0000 0.0000 0.0000 4.1844 0.0000 0.0000 0.0000 4.1844" Properties=species:S:1:pos:R:3 comment="ZnSbF3 PBE-GGA optimized geometry" formation_energy_uncorrected_ev_per_atom=-1.433 e_above_lowest_polymorph_mev_per_atom=106 m_tot_mub_per_cell=0.00 pbc="T T T"
F 0.0000 2.0922 0.0000
F 2.0922 0.0000 0.0000
F 0.0000 0.0000 2.0922
Sb 2.0922 2.0922 2.0922
Zn 0.0000 0.0000 0.0000



No. 4
8
Lattice="-1.3925 6.2906 -2.0113 -5.5133 -2.2389 -3.1853 -4.8961 2.4171 -0.3755" Properties=species:S:1:pos:R:3 comment="Li2RhAu PBE-GGA optimized geometry" formation_enthalpy_0k_mev_per_atom=0 m_tot_mub_per_cell=0.00 pbc="T T T"
Li -9.6968 5.3653 -4.8184
Li -6.2795 3.3250 -2.2406
Rh -3.4529 2.0258 -2.5983
Rh -6.9311 1.1020 -3.0796
Li -4.8484 0.0116 -2.3426
Au 0.0000 0.0000 0.0000
Au -4.8707 5.3667 -2.4926
Li -2.7790 4.2357 -1.7426



No. 5
4
Lattice="3.5561 0.0000 0.0000 0.0000 3.5561 0.0000 0.0000 0.0000 8.0357" Properties=species:S:1:pos:R:3 comment="LiPrMg2 PBE-GGA optimized geometry" e_above_lowest_polymorph_mev_per_atom=27 formation_enthalpy_0k_mev_per_atom=-48 m_tot_mub_per_cell=0.00 pbc="T T T"
Mg 0.0000 0.0000 6.3877
Pr 1.7781 1.7781 4.0179
Mg 0.0000 0.0000 1.6480
Li 1.7781 1.7781 0.0000



No. 6
5
Lattice="5.6444 0.0000 0.0000 0.0000 5.6444 0.0000 0.0000 0.0000 5.6444" Properties=species:S:1:pos:R:3 comment="La3TiBr PBE-GGA optimized geometry" formation_energy_uncorrected_ev_per_atom=0.059 e_above_lowest_polymorph_mev_per_atom=0 m_tot_mub_per_cell=2.23 pbc="T T T"
Br 0.0000 0.0000 0.0000
La 2.8222 0.0000 0.0000
La 0.0000 2.8222 0.0000
La 0.0000 0.0000 2.8222
Ti 2.8222 2.8222 2.8222



No. 7
4
Lattice="-1.2651 2.2866 2.3410 2.2619 -2.4816 1.0172 6.5325 5.2852 -1.6322" Properties=species:S:1:pos:R:3 comment="NbInSe2 PBE-GGA optimized geometry" formation_energy_uncorrected_ev_per_atom=-0.697 m_tot_mub_per_cell=0.00 pbc="T T T"
Se 1.9856 1.6065 -0.4961
Se 4.5469 3.6787 -1.1361
In -0.0894 0.6972 1.8997
Nb 3.1768 3.3398 1.0836



No. 8
16
Lattice="4.0787 0.0000 0.0000 0.0000 8.2554 0.0000 0.0000 0.0000 14.2522" Properties=species:S:1:pos:R:3 comment="Dy2TlSb PBE-GGA optimized geometry" formation_energy_uncorrected_ev_per_atom=-0.603 e_above_lowest_polymorph_mev_per_atom=112 m_tot_mub_per_cell=0.00 pbc="T T T"
Dy 3.0590 6.7036 14.1345
Tl 3.0590 3.7602 13.0541
Sb 1.0197 3.5786 9.3914
Dy 1.0197 5.6795 7.0084
Dy 3.0590 1.5648 10.8721
Dy 1.0197 6.6906 3.3801
Sb 3.0590 0.5491 2.2653
Sb 1.0197 7.7063 11.9869
Sb 3.0590 4.6768 4.8608
Dy 3.0590 2.5759 7.2438
Dy 3.0590 5.6925 10.5062
Dy 1.0197 2.5629 3.7460
Tl 1.0197 0.3675 5.9279
Tl 3.0590 7.8879 8.3243
Tl 1.0197 4.4952 1.1982
Dy 1.0197 1.5518 0.1177



No. 9
5
Lattice="-4.2866 0.2982 2.7985 -2.8054 -0.8589 -4.2056 0.2242 -5.0466 0.8811" Properties=species:S:1:pos:R:3 comment="YMnTl3 PBE-GGA optimized geometry" e_above_lowest_polymorph_mev_per_atom=0 formation_enthalpy_0k_mev_per_atom=265 m_tot_mub_per_cell=2.80 pbc="T T T"
Tl 0.1121 -2.5233 0.4405
Tl -2.1433 0.1491 1.3992
Tl -1.4027 -0.4294 -2.1028
Y -3.4339 -2.8037 -0.2630
Mn 0.0000 0.0000 0.0000



No. 10
8
Lattice="-2.9926 -1.0872 2.6572 0.8250 -4.0020 -0.7083 5.2969 -2.5040 8.1769" Properties=species:S:1:pos:R:3 comment="Hf2CrAu PBE-GGA optimized geometry" e_above_lowest_polymorph_mev_per_atom=689 formation_enthalpy_0k_mev_per_atom=456 m_tot_mub_per_cell=6.13 pbc="T T T"
Hf 1.4611 -3.2649 1.9379
Hf 2.0748 -6.3248 7.8391
Au 0.6103 -3.0679 5.9043
Au 0.0000 0.0000 0.0000
Hf 3.1612 -3.7928 6.8624
Hf -0.4383 -1.8041 3.6123
Cr -1.0838 -2.5446 0.9745
Cr 2.5191 -4.5253 4.2215



No. 11
4
Lattice="-9.4915 -2.9443 6.2860 -8.4122 -5.9576 5.6580 -7.2352 -4.3026 8.2104" Properties=species:S:1:pos:R:3 comment="InWBr2 PBE-GGA optimized geometry" formation_energy_uncorrected_ev_per_atom=0.308 e_above_lowest_polymorph_mev_per_atom=186 m_tot_mub_per_cell=0.00 pbc="T T T"
In 0.0000 0.0000 0.0000
Br -2.8533 -1.4987 2.2876
W -12.5694 -6.6022 10.0772
Br -22.2855 -11.7057 17.8669



No. 12
5
Lattice="5.1912 0.0000 0.0000 0.0000 5.1912 0.0000 0.0000 0.0000 4.8376" Properties=species:S:1:pos:R:3 comment="SrIn2GaCu PBE-GGA optimized geometry" formation_enthalpy_0k_mev_per_atom=-106 m_tot_mub_per_cell=0.00 pbc="T T T"
Cu 0.0000 0.0000 0.0000
In 2.5956 0.0000 0.0000
Ga 0.0000 0.0000 2.4188
In 0.0000 2.5956 0.0000
Sr 2.5956 2.5956 2.4188